one.
# SmScTc | OQMD | PBE-GGA | relaxed
data_SmScTc
_chemical_formula_sum 'Sm1 Sc1 Tc1'
_symmetry_space_group_name_H-M 'P 1'
_symmetry_Int_Tables_number 1
_cell_length_a 4.6381
_cell_length_b 4.6381
_cell_length_c 4.6381
_cell_angle_alpha 60.00
_cell_angle_beta 60.00
_cell_angle_gamma 60.00
loop_
_symmetry_equiv_pos_as_xyz
'x,y,z'
loop_
_atom_site_label
_atom_site_fract_x
_atom_site_fract_y
_atom_site_fract_z
Sc1 0.0000 0.0000 0.0000
Sm1 0.2500 0.2500 0.2500
Tc1 0.7500 0.7500 0.7500
# - Density: 6.90 g cm⁻³
# - SG: No. 216


two.
# SmScTc | OQMD | PBE-GGA | relaxed
data_SmScTc
_chemical_formula_sum 'Sm1 Sc1 Tc1'
_symmetry_space_group_name_H-M 'P 1'
_symmetry_Int_Tables_number 1
_cell_length_a 4.6560
_cell_length_b 4.6560
_cell_length_c 4.6560
_cell_angle_alpha 60.00
_cell_angle_beta 60.00
_cell_angle_gamma 60.00
loop_
_symmetry_equiv_pos_as_xyz
'x,y,z'
loop_
_atom_site_label
_atom_site_fract_x
_atom_site_fract_y
_atom_site_fract_z
Sc1 0.2500 0.2500 0.2500
Sm1 0.0000 0.0000 0.0000
Tc1 0.7500 0.7500 0.7500
# - Density: 6.82 g cm⁻³
# - SG: No. 216


Of them, two has the lowest stability.


one.
# TbScZn2Sn2 | OQMD | PBE-GGA | relaxed
data_TbScZn2Sn2
_chemical_formula_sum 'Tb2 Sc2 Zn4 Sn4'
_symmetry_space_group_name_H-M 'P 1'
_symmetry_Int_Tables_number 1
_cell_length_a 4.4615
_cell_length_b 4.4615
_cell_length_c 15.3735
_cell_angle_alpha 90.00
_cell_angle_beta 90.00
_cell_angle_gamma 120.00
loop_
_symmetry_equiv_pos_as_xyz
'x,y,z'
loop_
_atom_site_label
_atom_site_fract_x
_atom_site_fract_y
_atom_site_fract_z
Sc1 0.0000 0.0000 0.2500
Sc2 0.0000 0.0000 0.7500
Sn1 0.3333 0.6667 0.1172
Sn2 0.3333 0.6667 0.3828
Sn3 0.6667 0.3333 0.6172
Sn4 0.6667 0.3333 0.8828
Tb1 0.0000 0.0000 0.0000
Tb2 0.0000 0.0000 0.5000
Zn1 0.6667 0.3333 0.1640
Zn2 0.6667 0.3333 0.3360
Zn3 0.3333 0.6667 0.6640
Zn4 0.3333 0.6667 0.8360
# - Density: 7.17 g cm⁻³
# - SG: No. 194


two.
# TbScZn2Sn2 | OQMD | PBE-GGA | relaxed
data_TbScZn2Sn2
_chemical_formula_sum 'Tb2 Sc2 Zn4 Sn4'
_symmetry_space_group_name_H-M 'P 1'
_symmetry_Int_Tables_number 1
_cell_length_a 4.4979
_cell_length_b 4.4979
_cell_length_c 15.0340
_cell_angle_alpha 90.00
_cell_angle_beta 90.00
_cell_angle_gamma 120.00
loop_
_symmetry_equiv_pos_as_xyz
'x,y,z'
loop_
_atom_site_label
_atom_site_fract_x
_atom_site_fract_y
_atom_site_fract_z
Sc1 0.0000 0.0000 0.0000
Sc2 0.0000 0.0000 0.5000
Sn1 0.3333 0.6667 0.1056
Sn2 0.3333 0.6667 0.3945
Sn3 0.6667 0.3333 0.6056
Sn4 0.6667 0.3333 0.8945
Tb1 0.0000 0.0000 0.2500
Tb2 0.0000 0.0000 0.7500
Zn1 0.6667 0.3333 0.1550
Zn2 0.6667 0.3333 0.3450
Zn3 0.3333 0.6667 0.6550
Zn4 0.3333 0.6667 0.8450
# - Density: 7.21 g cm⁻³
# - SG: No. 194


Of them, two has the lowest stability.


one.
# ScTcSn | OQMD | PBE-GGA | relaxed
data_ScTcSn
_chemical_formula_sum 'Sc1 Tc1 Sn1'
_symmetry_space_group_name_H-M 'P 1'
_symmetry_Int_Tables_number 1
_cell_length_a 4.5385
_cell_length_b 4.5385
_cell_length_c 4.5385
_cell_angle_alpha 60.00
_cell_angle_beta 60.00
_cell_angle_gamma 60.00
loop_
_symmetry_equiv_pos_as_xyz
'x,y,z'
loop_
_atom_site_label
_atom_site_fract_x
_atom_site_fract_y
_atom_site_fract_z
Sc1 0.2500 0.2500 0.2500
Sn1 0.0000 0.0000 0.0000
Tc1 0.7500 0.7500 0.7500
# - Density: 6.57 g cm⁻³
# - SG: No. 216


two.
# ScTcSn | OQMD | PBE-GGA | relaxed
data_ScTcSn
_chemical_formula_sum 'Sc1 Tc1 Sn1'
_symmetry_space_group_name_H-M 'P 1'
_symmetry_Int_Tables_number 1
_cell_length_a 4.5577
_cell_length_b 4.5577
_cell_length_c 4.5577
_cell_angle_alpha 60.00
_cell_angle_beta 60.00
_cell_angle_gamma 60.00
loop_
_symmetry_equiv_pos_as_xyz
'x,y,z'
loop_
_atom_site_label
_atom_site_fract_x
_atom_site_fract_y
_atom_site_fract_z
Sc1 0.0000 0.0000 0.0000
Sn1 0.2500 0.2500 0.2500
Tc1 0.7500 0.7500 0.7500
# - Density: 6.49 g cm⁻³
# - SG: No. 216


Of them, two has the lowest stability.


one.
# YScZn2Sn2 | OQMD | PBE-GGA | relaxed
data_YScZn2Sn2
_chemical_formula_sum 'Y2 Sc2 Zn4 Sn4'
_symmetry_space_group_name_H-M 'P 1'
_symmetry_Int_Tables_number 1
_cell_length_a 4.4938
_cell_length_b 4.4938
_cell_length_c 15.0226
_cell_angle_alpha 90.00
_cell_angle_beta 90.00
_cell_angle_gamma 120.00
loop_
_symmetry_equiv_pos_as_xyz
'x,y,z'
loop_
_atom_site_label
_atom_site_fract_x
_atom_site_fract_y
_atom_site_fract_z
Sc1 0.0000 0.0000 0.0000
Sc2 0.0000 0.0000 0.5000
Sn1 0.3333 0.6667 0.1055
Sn2 0.3333 0.6667 0.3945
Sn3 0.6667 0.3333 0.6055
Sn4 0.6667 0.3333 0.8945
Y1 0.0000 0.0000 0.2500
Y2 0.0000 0.0000 0.7500
Zn1 0.6667 0.3333 0.1551
Zn2 0.6667 0.3333 0.3449
Zn3 0.3333 0.6667 0.6551
Zn4 0.3333 0.6667 0.8449
# - Density: 6.35 g cm⁻³
# - SG: No. 194


two.
# YScZn2Sn2 | OQMD | PBE-GGA | relaxed
data_YScZn2Sn2
_chemical_formula_sum 'Y2 Sc2 Zn4 Sn4'
_symmetry_space_group_name_H-M 'P 1'
_symmetry_Int_Tables_number 1
_cell_length_a 4.4475
_cell_length_b 4.4475
_cell_length_c 15.4257
_cell_angle_alpha 90.00
_cell_angle_beta 90.00
_cell_angle_gamma 120.00
loop_
_symmetry_equiv_pos_as_xyz
'x,y,z'
loop_
_atom_site_label
_atom_site_fract_x
_atom_site_fract_y
_atom_site_fract_z
Sc1 0.0000 0.0000 0.2500
Sc2 0.0000 0.0000 0.7500
Sn1 0.3333 0.6667 0.1172
Sn2 0.3333 0.6667 0.3828
Sn3 0.6667 0.3333 0.6172
Sn4 0.6667 0.3333 0.8828
Y1 0.0000 0.0000 0.0000
Y2 0.0000 0.0000 0.5000
Zn1 0.6667 0.3333 0.1643
Zn2 0.6667 0.3333 0.3357
Zn3 0.3333 0.6667 0.6643
Zn4 0.3333 0.6667 0.8357
# - Density: 6.31 g cm⁻³
# - SG: No. 194


Of them, one has the lowest stability.


one.
# Sc2Ta | OQMD | PBE-GGA | relaxed
data_Sc2Ta
_chemical_formula_sum 'Sc4 Ta2'
_symmetry_space_group_name_H-M 'P 1'
_symmetry_Int_Tables_number 1
_cell_length_a 5.9239
_cell_length_b 5.9239
_cell_length_c 8.5732
_cell_angle_alpha 120.47
_cell_angle_beta 120.47
_cell_angle_gamma 29.89
loop_
_symmetry_equiv_pos_as_xyz
'x,y,z'
loop_
_atom_site_label
_atom_site_fract_x
_atom_site_fract_y
_atom_site_fract_z
Sc1 0.1439 0.1439 0.0230
Sc2 0.6140 0.6140 0.3421
Sc3 0.3860 0.3860 0.6579
Sc4 0.8561 0.8561 0.9770
Ta1 0.8799 0.8799 0.3362
Ta2 0.1201 0.1201 0.6639
# - Density: 7.05 g cm⁻³
# - SG: No. 12


two.
# Sc2Ta | OQMD | PBE-GGA | relaxed
data_Sc2Ta
_chemical_formula_sum 'Sc4 Ta2'
_symmetry_space_group_name_H-M 'P 1'
_symmetry_Int_Tables_number 1
_cell_length_a 7.7469
_cell_length_b 7.7469
_cell_length_c 7.7469
_cell_angle_alpha 60.00
_cell_angle_beta 60.00
_cell_angle_gamma 60.00
loop_
_symmetry_equiv_pos_as_xyz
'x,y,z'
loop_
_atom_site_label
_atom_site_fract_x
_atom_site_fract_y
_atom_site_fract_z
Sc1 0.8750 0.8750 0.3750
Sc2 0.8750 0.3750 0.8750
Sc3 0.3750 0.8750 0.8750
Sc4 0.8750 0.8750 0.8750
Ta1 0.0000 0.0000 0.0000
Ta2 0.7500 0.7500 0.7500
# - Density: 2.74 g cm⁻³
# - SG: No. 227


Of them, two has the lowest stability.